No. 1
Entry from Alexandria via LeMat-Bulk: crystalline HgMoPt at its relaxed geometry (PBE-GGA).

VASP energy (eV per atom): -5.535
Magnetic moment (μB/f.u.): 0.00
DOS at the Fermi energy (states/eV per atom): 0.93
Formation enthalpy at 0 K (eV per atom): 0.19
E above lowest polymorph (eV/atom): 0.087

Structure (CIF):
```
data_HgMoPt
_cell_length_a 2.8966
_cell_length_b 2.8966
_cell_length_c 7.1952
_cell_angle_alpha 90.00
_cell_angle_beta 90.00
_cell_angle_gamma 120.00
_space_group_name_H-M_alt 'P 3 m 1'
_space_group_IT_number 156
loop_
_space_group_symop_operation_xyz
'x,y,z'
'-y,x-y,z'
'-x+y,-x,z'
'-y,-x,z'
'-x+y,y,z'
'x,x-y,z'
loop_
_atom_site_label
_atom_site_type_symbol
_atom_site_fract_x
_atom_site_fract_y
_atom_site_fract_z
_atom_site_occupancy
Hg1 Hg 0.0000 0.0000 0.0000 1
Mo1 Mo 0.6667 0.3333 0.3512 1
Pt1 Pt 0.3333 0.6667 0.6461 1
```

No. 2
Entry from Alexandria via LeMat-Bulk: crystalline HgMo4Pt at its relaxed geometry (PBE-GGA).

VASP energy (eV per atom): -7.870
Magnetic moment (μB/f.u.): 0.00
DOS at the Fermi energy (states/eV per atom): 0.88
Formation enthalpy at 0 K (eV per atom): 0.41

Structure (CIF):
```
data_HgMo4Pt
_cell_length_a 7.4247
_cell_length_b 7.4247
_cell_length_c 7.4247
_cell_angle_alpha 90.00
_cell_angle_beta 90.00
_cell_angle_gamma 90.00
_space_group_name_H-M_alt 'F -4 3 m'
_space_group_IT_number 216
_space_group_name_Hall 'F -4 2 3'
loop_
_atom_site_label
_atom_site_type_symbol
_atom_site_fract_x
_atom_site_fract_y
_atom_site_fract_z
_atom_site_occupancy
Hg1 Hg 0.0000 0.0000 0.0000 1
Mo1 Mo 0.1257 0.1257 0.6257 1
Pt1 Pt 0.2500 0.2500 0.2500 1
```